The following is a DFT calculation (PBE) of crystalline KIrSe2 at its relaxed geometry.

Its formation energy from raw total energies is -215 kJ/mol of formula units. The crystal system is monoclinic.

Cell and atoms, written as POSCAR:
```
KIrSe2
1.0
3.837 0.000 0.000
0.000 5.042 0.000
-1.879 0.000 9.856
K Ir Se
2 2 4
direct
0.068 0.250 0.128 K
0.932 0.750 0.872 K
0.193 0.750 0.384 Ir
0.807 0.250 0.616 Ir
0.228 0.250 0.455 Se
0.392 0.250 0.789 Se
0.608 0.750 0.211 Se
0.772 0.750 0.545 Se
```

=====

The following is a DFT calculation (PBE) of crystalline Ac4Rh3 at its relaxed geometry.

The value obtained for the formation energy from the elements is -4.53 eV per formula unit. The crystal system is monoclinic.

Cell and atoms, written as POSCAR:
```
Ac4Rh3
1.0
7.567 -2.227 0.000
7.567 2.227 0.000
-3.665 0.000 6.553
Ac Rh
4 3
direct
0.124 0.124 0.295 Ac
0.366 0.366 0.202 Ac
0.634 0.634 0.798 Ac
0.876 0.876 0.705 Ac
0.260 0.260 0.759 Rh
0.500 0.500 0.000 Rh
0.740 0.740 0.241 Rh
```

=====

The following is a DFT calculation (PBE) of crystalline K2CrSbS4 at its relaxed geometry.

Its formation energy from raw total energies is -521 kJ/mol of formula units. The crystal system is tetragonal.

Cell and atoms, written as POSCAR:
```
K2CrSbS4
1.0
-3.799 3.799 3.860
3.799 -3.799 3.860
3.799 3.799 -3.860
K Cr Sb S
2 1 1 4
direct
0.000 0.000 0.000 K
0.750 0.250 0.500 K
0.250 0.750 0.500 Cr
0.500 0.500 0.000 Sb
0.251 0.092 0.547 S
0.296 0.749 0.840 S
0.544 0.704 0.453 S
0.908 0.456 0.160 S
```

=====

The following is a DFT calculation (PBE) of crystalline Ac2ScCu3Ge4 at its relaxed geometry.

The value obtained for the formation energy from the elements is -5.68 eV per formula unit. The crystal system is tetragonal.

Cell and atoms, written as POSCAR:
```
Ac2ScCu3Ge4
1.0
4.406 0.000 0.000
0.000 4.406 0.000
0.000 0.000 10.734
Ac Sc Cu Ge
2 1 3 4
direct
0.000 0.500 0.235 Ac
0.500 0.000 0.765 Ac
0.000 0.000 0.500 Sc
0.000 0.500 0.882 Cu
0.500 0.000 0.118 Cu
0.500 0.500 0.500 Cu
0.000 0.000 0.000 Ge
0.000 0.500 0.645 Ge
0.500 0.000 0.355 Ge
0.500 0.500 0.000 Ge
```

=====

The following is a DFT calculation (PBE) of crystalline BeFeIr2 at its relaxed geometry.

The value obtained for the formation energy from the elements is -0.45 eV per formula unit. The crystal system is orthorhombic.

Cell and atoms, written as POSCAR:
```
BeFeIr2
1.0
2.690 0.000 0.000
0.000 3.695 0.000
0.000 0.000 5.048
Be Fe Ir
1 1 2
direct
0.000 0.000 0.000 Be
0.500 0.500 0.259 Fe
0.000 0.000 0.480 Ir
0.500 0.500 0.787 Ir
```

=====

The following is a DFT calculation (PBE) of crystalline HoCdRh2 at its relaxed geometry.

The value obtained for the formation energy from the elements is -2.49 eV per formula unit. The crystal system is tetragonal.

Cell and atoms, written as POSCAR:
```
HoCdRh2
1.0
4.485 0.000 0.000
0.000 4.485 0.000
0.000 0.000 3.564
Ho Cd Rh
1 1 2
direct
0.000 0.000 0.000 Ho
0.500 0.500 0.000 Cd
0.000 0.500 0.500 Rh
0.500 0.000 0.500 Rh
```

=====

The following is a DFT calculation (PBE) of crystalline HfZnCo3 at its relaxed geometry.

The value obtained for the formation energy from the elements is 0.70 eV per formula unit. The polymorph energy (0 for the lowest one) is 0.00 kcal/mol of atoms. The crystal system is hexagonal.

Cell and atoms, written as POSCAR:
```
HfZnCo3
1.0
5.774 0.000 0.000
-2.887 5.001 0.000
0.000 0.000 4.914
Hf Zn Co
2 2 6
direct
0.333 0.667 0.250 Hf
0.667 0.333 0.750 Hf
0.000 0.000 0.000 Zn
0.000 0.000 0.500 Zn
0.203 0.405 0.750 Co
0.203 0.797 0.750 Co
0.405 0.203 0.250 Co
0.595 0.797 0.750 Co
0.797 0.203 0.250 Co
0.797 0.595 0.250 Co
```

=====

The following is a DFT calculation (PBE) of crystalline CeErRe4 at its relaxed geometry.

The value obtained for the formation energy from the elements is -0.55 eV per formula unit. The crystal system is cubic.

Cell and atoms, written as POSCAR:
```
CeErRe4
1.0
0.000 3.850 3.850
3.850 0.000 3.850
3.850 3.850 0.000
Ce Er Re
1 1 4
direct
0.000 0.000 0.000 Ce
0.250 0.250 0.250 Er
0.126 0.625 0.625 Re
0.625 0.126 0.625 Re
0.625 0.625 0.126 Re
0.625 0.625 0.625 Re
```

=====

VASP energy (eV/atom)
-4.790, -6.146, -4.732, -5.098, -7.590, -5.671, -6.370, -10.141
Density (Mg/m³)
6.78, 9.15, 2.83, 7.81, 14.87, 11.19, 9.85, 15.31